Entry 1:
A geometry-optimized LiBiAs2P structure. Source: the Alexandria database, functional PBE.

Summary:
**Energy of formation**: 1036 meV per atom
**Calculated density**: 4.5 Mg/m³
**Crystal system**: tetragonal
**Total moment**: 0.000 μB/atom

a = 5.427 Å, b = 5.427 Å, c = 4.966 Å
α = 90.00°, β = 90.00°, γ = 90.00°
Sites, in units of the cell vectors:
Li (0.000, 0.000, 0.000)
Bi (0.000, 0.000, 0.500)
As (0.000, 0.500, 0.500)
As (0.500, 0.000, 0.500)
P (0.500, 0.500, 0.000)


Entry 2:
A geometry-optimized AcMgHPb structure. Source: the Alexandria database, functional PBE.

Summary:
**Calculated density**: 8.1 Mg/m³
**Crystal system**: tetragonal
**Total moment**: 0.000 μB/atom
**E**: -29.54 eV for the cell shown

a = 4.658 Å, b = 4.658 Å, c = 8.693 Å
α = 90.00°, β = 90.00°, γ = 90.00°
Sites, in units of the cell vectors:
Ac (0.250, 0.250, 0.137)
Ac (0.750, 0.750, 0.863)
Mg (0.250, 0.750, 0.500)
Mg (0.750, 0.250, 0.500)
H (0.250, 0.750, 0.000)
H (0.750, 0.250, 0.000)
Pb (0.250, 0.250, 0.716)
Pb (0.750, 0.750, 0.284)


Entry 3:
A geometry-optimized CeSm2Cd8 structure. Source: the Alexandria database, functional PBE.

Summary:
**Energy of formation**: -168 meV per atom
**Calculated density**: 7.8 Mg/m³
**Crystal system**: orthorhombic
**Total moment**: 0.099 μB/atom

a = 8.825 Å, b = 8.825 Å, c = 8.825 Å
α = 145.63°, β = 132.37°, γ = 60.04°
Sites, in units of the cell vectors:
Ce (0.000, 0.000, 0.000)
Sm (0.312, 0.312, 0.000)
Sm (0.688, 0.688, 0.000)
Cd (0.130, 0.847, 0.283)
Cd (0.158, 0.658, 0.500)
Cd (0.288, 0.500, 0.788)
Cd (0.435, 0.153, 0.283)
Cd (0.565, 0.847, 0.717)
Cd (0.712, 0.500, 0.212)
Cd (0.842, 0.342, 0.500)
Cd (0.870, 0.153, 0.717)


Entry 4:
A geometry-optimized BeCrTe3 structure. Source: the Alexandria database, functional PBE.

Summary:
**Calculated density**: 5.6 Mg/m³
**Crystal system**: cubic
**Formation energy from raw total energies**: 0.903 eV/atom
**Total moment**: 0.000 μB/atom

a = 5.098 Å, b = 5.098 Å, c = 5.098 Å
α = 90.00°, β = 90.00°, γ = 90.00°
Sites, in units of the cell vectors:
Be (0.000, 0.000, 0.000)
Cr (0.500, 0.500, 0.500)
Te (0.000, 0.500, 0.500)
Te (0.500, 0.000, 0.500)
Te (0.500, 0.500, 0.000)


Entry 5:
A geometry-optimized LiY2Ag structure. Source: the Alexandria database, functional PBE.

Summary:
**Energy of formation**: 21 meV per atom
**Calculated density**: 4.9 Mg/m³
**Crystal system**: tetragonal
**Total moment**: 0.000 μB/atom

a = 6.092 Å, b = 6.092 Å, c = 6.092 Å
α = 138.29°, β = 138.29°, γ = 60.46°
Sites, in units of the cell vectors:
Li (0.000, 0.000, 0.000)
Y (0.250, 0.750, 0.500)
Y (0.500, 0.500, 0.000)
Ag (0.750, 0.250, 0.500)


Entry 6:
A geometry-optimized LuGaCuNi structure. Source: the Alexandria database, functional PBE.

Summary:
**Energy of formation**: -402 meV per atom
**Calculated density**: 9.8 Mg/m³
**Crystal system**: cubic
**Total moment**: 0.000 μB/atom

a = 4.443 Å, b = 4.443 Å, c = 4.443 Å
α = 60.00°, β = 60.00°, γ = 60.00°
Sites, in units of the cell vectors:
Lu (0.000, 0.000, 0.000)
Ga (0.500, 0.500, 0.500)
Cu (0.250, 0.250, 0.250)
Ni (0.750, 0.750, 0.750)


Entry 7:
A geometry-optimized TbPrEuTl structure. Source: the Alexandria database, functional PBE.

Summary:
**Energy of formation**: -64 meV per atom
**Calculated density**: 8.7 Mg/m³
**Crystal system**: cubic
**Total moment**: 1.912 μB/atom

a = 5.613 Å, b = 5.613 Å, c = 5.613 Å
α = 60.00°, β = 60.00°, γ = 60.00°
Sites, in units of the cell vectors:
Tb (0.000, 0.000, 0.000)
Pr (0.500, 0.500, 0.500)
Eu (0.750, 0.750, 0.750)
Tl (0.250, 0.250, 0.250)


Entry 8:
A geometry-optimized ZrAg2SbRh structure. Source: the Alexandria database, functional PBE.

Summary:
**Calculated density**: 6.1 Mg/m³
**Crystal system**: tetragonal
**Formation energy from raw total energies**: 1.350 eV/atom
**Total moment**: 0.362 μB/atom

a = 5.173 Å, b = 5.173 Å, c = 5.392 Å
α = 90.00°, β = 90.00°, γ = 90.00°
Sites, in units of the cell vectors:
Zr (0.000, 0.000, 0.000)
Ag (0.000, 0.500, 0.000)
Ag (0.500, 0.000, 0.000)
Sb (0.000, 0.000, 0.500)
Rh (0.500, 0.500, 0.500)